<one>
# MnRu2Cl

A relaxed structure of MnRu2Cl (GGA-PBE, Alexandria).

Lattice parameters (Å, degrees): 2.7820 2.7820 24.6378 90.00 90.00 120.00
With the nearest neighbours (Å) after each atom.
Space group R-3m (No. 166, hexagonal axes)
Symmetry-distinct sites (fractional):
1 Mn 0.0000 0.0000 0.0000  6 Ru 2.54, 6 Mn 2.78
2 Ru 0.0000 0.0000 0.2536  3 Mn 2.54, 3 Cl 2.68, 6 Ru 2.78
3 Cl 0.0000 0.0000 0.5000  6 Ru 2.68, 6 Cl 2.78

Output
size of the total moment = 0.3 μB/f.u.
crystal system = trigonal

<two>
# MnRu2Cl

A relaxed structure of MnRu2Cl (GGA-PBE, Alexandria).

Lattice parameters (Å, degrees): 2.8829 3.9513 5.2121 90.00 105.39 90.00
With the nearest neighbours (Å) after each atom.
Space group P2/m (No. 10)
Symmetry-distinct sites (fractional):
1 Mn 0.0000 0.0000 0.0000  2 Cl 2.61, 8 Ru 2.73-2.80, 2 Mn 2.88
2 Ru 0.3542 0.5000 0.7436  2 Cl 2.42, 1 Ru 2.58
3 Cl 0.0000 0.0000 0.5000  4 Ru 2.42, 2 Mn 2.61

Output
size of the total moment = 2.7 μB/f.u.
crystal system = monoclinic

<three>
# MnRu2Cl

A relaxed structure of MnRu2Cl (GGA-PBE, Alexandria).

Lattice parameters (Å, degrees): 2.9206 2.8933 7.5722 90.00 90.19 90.00
With the nearest neighbours (Å) after each atom.
Space group Pm (No. 6)
Symmetry-distinct sites (fractional):
1 Mn 0.0000 0.0000 0.0000  2 Cl 2.51, 4 Ru 2.74
2 Ru 0.4975 0.5000 0.7605  6 Ru 2.59-2.89, 4 Mn 2.74
3 Ru 0.9958 0.0000 0.5518  2 Cl 2.57, 4 Ru 2.59
4 Cl 0.9919 0.5000 0.2712  2 Mn 2.51, 2 Ru 2.57

Output
size of the total moment = 4.7 μB/f.u.
crystal system = monoclinic

Which of them is the most stable? Correct choice: <three>.

<one>
# MnSCl2

A relaxed structure of MnSCl2 (GGA-PBE, Alexandria).

Lattice parameters (Å, degrees): 6.3877 6.3877 8.8991 90.00 90.00 90.00
With the nearest neighbours (Å) after each atom.
Space group I-42d (No. 122)
Symmetry-distinct sites (fractional):
1 Mn 0.0000 0.0000 0.0000  4 Cl 2.14
2 S 0.0000 0.0000 0.5000  4 Cl 3.01
3 Cl 0.1397 0.2500 0.1250  2 Mn 2.14

Output
size of the total moment = 0.0 μB/f.u.
crystal system = tetragonal

<two>
# MnSCl2

A relaxed structure of MnSCl2 (GGA-PBE, Alexandria).

Lattice parameters (Å, degrees): 2.8599 2.8599 36.3443 90.00 90.00 120.00
With the nearest neighbours (Å) after each atom.
Space group R-3m (No. 166, hexagonal axes)
Symmetry-distinct sites (fractional):
1 Mn 0.0000 0.0000 0.0000  2 Cl 2.09
2 S 0.0000 0.0000 0.5000  6 S 2.86
3 Cl 0.0000 0.0000 0.0575  1 Mn 2.09

Output
size of the total moment = 0.3 μB/f.u.
crystal system = trigonal

Which of them is the most stable? Correct choice: <one>.